VASP calculation (GGA+U) on a relaxed structure of PaBeWO6.

The total energy is -146.171 eV for the cell shown. As for the crystal system: trigonal.

Unit cell a=4.9842 b=4.9842 c=9.7096 alpha=90.00 beta=90.00 gamma=120.00
With the nearest neighbours (Å) after each atom.
Space group P-31c (No. 163)
Symmetry-distinct sites (fractional):
Pa  0.0000  0.0000  0.0000 [2 per cell]  6 O 2.21
Be  0.3333  0.6667  0.2500 [2 per cell]  6 O 1.90
W  0.3333  0.6667  0.7500 [2 per cell]  6 O 1.99
O  0.0149  0.3606  0.1383 [12 per cell]  1 Be 1.90, 1 W 1.99